Record 1
Density functional theory data (PBE) for a relaxed structure of Pm2Br2N.

Values from the calculation:
- Raw total energy: -29.0 eV/f.u.
- Energy relative to the lowest polymorph listed for this composition: 0.098 eV/atom

Lattice parameters (Å, degrees): 21.4496 3.9979 7.6285 90.00 96.51 90.00
Last column: nearest neighbours and their distance in Å.
Space group C2/m (No. 12)
Unique sites:
Pm 0.1733 0.0000 0.3559 x4  1 N 2.19
Pm 0.1830 0.5000 0.9370 x4  3 N 2.31-2.41
Br 0.0799 0.5000 0.2062 x4  3 Pm 2.97-3.18
Br 0.1064 0.0000 0.6933 x4  3 Pm 3.07-3.08
N 0.2118 0.0000 0.1019 x4  4 Pm 2.19-2.41

Record 2
Density functional theory data (PBE) for a relaxed structure of Pm2BrN2.

Values from the calculation:
- Raw total energy: -33.5 eV/f.u.

Lattice parameters (Å, degrees): 14.6602 4.1635 6.5564 90.00 101.58 90.00
Last column: nearest neighbours and their distance in Å.
Space group C2/c (No. 15)
Unique sites:
Pm 0.1629 0.1741 0.1455 x8  4 N 2.30-2.56
Br 0.0000 0.2586 0.7500 x4  6 Pm 3.17-3.52
N 0.2159 0.3594 0.5225 x8  1 N 1.43

E_form (uncorrected): -7.8, -5.7 (eV per formula unit)
N(E_F): 0.28, 0.45 (states/eV/atom)